A geometry-optimized MgZn3Sb structure, computed with PBE.

abc: 5.2937 5.2937 5.2937
angles: 90.00 90.00 90.00
Atoms (fractional coordinates):
1 Mg 0.0000 0.0000 0.0000
2 Zn 0.0000 0.5000 0.5000
3 Zn 0.5000 0.0000 0.5000
4 Zn 0.5000 0.5000 0.0000
5 Sb 0.5000 0.5000 0.5000

Results
Magnetization: 0.0000 μB/atom
Symmetry: No. 221
Offset from the most stable computed form: 0 meV per atom
VASP energy: -0.10248 Ry/atom
D(E_F): 0.2806 states/eV per atom
Energy relative to the elements, uncorrected: 0.513 eV/atom